Entry 1:
Crystalline Er3Mg3Tl2Cd at its relaxed geometry, computed with GGA-PBE.

Results
M_tot, μB/atom: 0.0004
ρ, g/cm³: 8.143
V, Å³ per cell: 223.46
Raw total energy, eV/atom: -2.965

a = 7.5253 Å, b = 7.5253 Å, c = 4.5565 Å
α = 90.00°, β = 90.00°, γ = 120.00°
Space group P-62m (No. 189)
Symmetry-distinct sites (fractional):
Er 0.0000 0.5727 0.0000 (multiplicity 3)
Mg 0.0000 0.2399 0.5000 (multiplicity 3)
Tl 0.3333 0.6667 0.5000 (multiplicity 2)
Cd 0.0000 0.0000 0.0000 (multiplicity 1)

=====

Entry 2:
Crystalline Er3Mg3Tl2Cd at its relaxed geometry, computed with GGA-PBE.

Results
M_tot, μB/atom: 0.0003
ρ, g/cm³: 8.117
V, Å³ per cell: 448.39
Raw total energy, eV/atom: -2.965

a = 4.591 Å, b = 13.022 Å, c = 7.500 Å
α = 90.00°, β = 90.00°, γ = 90.00°
Space group Amm2 (No. 38)
Symmetry-distinct sites (fractional):
Er 0.000 0.000 0.000 (multiplicity 2)
Er 0.000 0.214 0.641 (multiplicity 4)
Mg 0.500 0.000 0.668 (multiplicity 2)
Mg 0.500 0.120 0.308 (multiplicity 4)
Tl 0.500 0.167 0.927 (multiplicity 4)
Cd 0.000 0.000 0.429 (multiplicity 2)

=====

Entry 3:
Crystalline Y2ErMg3Tl2Cd at its relaxed geometry, computed with GGA-PBE.

Results
M_tot, μB/atom: 0.0001
ρ, g/cm³: 6.850
V, Å³ per cell: 455.33
Raw total energy, eV/atom: -3.419

a = 4.611 Å, b = 13.052 Å, c = 7.566 Å
α = 90.00°, β = 90.00°, γ = 90.00°
Space group Amm2 (No. 38)
Symmetry-distinct sites (fractional):
Y 0.000 0.213 0.000 (multiplicity 4)
Er 0.000 0.000 0.640 (multiplicity 2)
Mg 0.500 0.000 0.974 (multiplicity 2)
Mg 0.500 0.120 0.334 (multiplicity 4)
Tl 0.500 0.166 0.713 (multiplicity 4)
Cd 0.000 0.000 0.216 (multiplicity 2)

=====

Entry 4:
Crystalline YEr2Mg3Tl2Cd at its relaxed geometry, computed with GGA-PBE.

Results
M_tot, μB/atom: 0.0001
ρ, g/cm³: 7.465
V, Å³ per cell: 452.67
Raw total energy, eV/atom: -3.192

a = 4.603 Å, b = 13.077 Å, c = 7.520 Å
α = 90.00°, β = 90.00°, γ = 90.00°
Space group Amm2 (No. 38)
Symmetry-distinct sites (fractional):
Y 0.000 0.000 0.000 (multiplicity 2)
Er 0.000 0.214 0.641 (multiplicity 4)
Mg 0.500 0.000 0.668 (multiplicity 2)
Mg 0.500 0.120 0.308 (multiplicity 4)
Tl 0.500 0.168 0.927 (multiplicity 4)
Cd 0.000 0.000 0.430 (multiplicity 2)

=====

Entry 5:
Crystalline Er3Mg3Zn2Cd at its relaxed geometry, computed with GGA-PBE.

Results
M_tot, μB/atom: 0.0007
ρ, g/cm³: 6.556
V, Å³ per cell: 207.16
Raw total energy, eV/atom: -2.664

a = 7.4611 Å, b = 7.4611 Å, c = 4.2971 Å
α = 90.00°, β = 90.00°, γ = 120.00°
Space group P-62m (No. 189)
Symmetry-distinct sites (fractional):
Er 0.0000 0.5776 0.0000 (multiplicity 3)
Mg 0.0000 0.2530 0.5000 (multiplicity 3)
Zn 0.3333 0.6667 0.5000 (multiplicity 2)
Cd 0.0000 0.0000 0.0000 (multiplicity 1)

=====

Entry 6:
Crystalline Er3Mg3ZnCd2 at its relaxed geometry, computed with GGA-PBE.

Results
M_tot, μB/atom: 0.0016
ρ, g/cm³: 6.669
V, Å³ per cell: 215.36
Raw total energy, eV/atom: -2.618

a = 7.5825 Å, b = 7.5825 Å, c = 4.3252 Å
α = 90.00°, β = 90.00°, γ = 120.00°
Space group P-62m (No. 189)
Symmetry-distinct sites (fractional):
Er 0.0000 0.5931 0.0000 (multiplicity 3)
Mg 0.0000 0.2399 0.5000 (multiplicity 3)
Zn 0.0000 0.0000 0.0000 (multiplicity 1)
Cd 0.3333 0.6667 0.5000 (multiplicity 2)

=====

Entry 7:
Crystalline ErCdMo at its relaxed geometry, computed with GGA-PBE.

Results
Formation energy, meV per atom: 819
M_tot, μB/atom: 0.9352
ρ, g/cm³: 8.119
V, Å³ per cell: 307.28
Raw total energy, eV/atom: -4.617

a = 6.748 Å, b = 6.748 Å, c = 6.748 Å
α = 90.00°, β = 90.00°, γ = 90.00°
Space group F-43m (No. 216)
Symmetry-distinct sites (fractional):
Er 0.000 0.000 0.000 (multiplicity 4)
Cd 0.000 0.000 0.500 (multiplicity 4)
Mo 0.250 0.250 0.750 (multiplicity 4)

=====

Entry 8:
Crystalline ErCdMo at its relaxed geometry, computed with GGA-PBE.

Results
Formation energy, meV per atom: 1125
M_tot, μB/atom: 1.0079
ρ, g/cm³: 7.926
V, Å³ per cell: 314.77
Raw total energy, eV/atom: -4.311

a = 6.802 Å, b = 6.802 Å, c = 6.802 Å
α = 90.00°, β = 90.00°, γ = 90.00°
Space group F-43m (No. 216)
Symmetry-distinct sites (fractional):
Er 0.000 0.000 0.000 (multiplicity 4)
Cd 0.250 0.250 0.750 (multiplicity 4)
Mo 0.250 0.250 0.250 (multiplicity 4)